Entry 1:
{"formula": "Ca2HgP", "functional": "PBE", "state": "relaxed", "lattice_angstrom": [[4.949, 0.000, 0.000], [0.000, 4.949, 0.000], [0.000, 0.000, 3.976]], "species": ["Ca", "Ca", "Hg", "P"], "fractional_positions": [[0.000, 0.500, 0.000], [0.500, 0.000, 0.000], [0.000, 0.000, 0.500], [0.500, 0.500, 0.500]], "dft_energy_ev_per_atom": -3.150, "sg": "No. 123"}

=====

Entry 2:
{"formula": "CaHgP", "functional": "PBE", "state": "relaxed", "lattice_angstrom": [[0.000, 3.399, 3.399], [3.399, 0.000, 3.399], [3.399, 3.399, 0.000]], "species": ["Ca", "Hg", "P"], "fractional_positions": [[0.000, 0.000, 0.000], [0.500, 0.500, 0.500], [0.750, 0.750, 0.750]], "dft_energy_ev_per_atom": -3.019, "sg": "No. 216"}

=====

no.,energy relative to the lowest polymorph listed for this composition (eV per atom),formation energy (eV per atom)
1,0.1115,-0.721
2,0.0373,-0.448